# LiZnAg

A geometry-optimized LiZnAg structure (PBE, Alexandria).

## Properties
**Spin magnetization**: 0.00 μB/atom
**Relative energy among the computed polymorphs**: 21 meV/atom
**ΔH_f (0 K)**: -0.161 eV per atom
**DOS at the Fermi energy**: 1.481 states/eV/cell

a = 4.4026 Å, b = 4.4026 Å, c = 2.7774 Å
α = 90.00°, β = 90.00°, γ = 120.00°
Space group P3m1 (No. 156)
Symmetry-distinct sites (fractional):
Li: 0.0000 0.0000 0.0000 (multiplicity 1)
Zn: 0.3333 0.6667 0.2769 (multiplicity 1)
Ag: 0.6667 0.3333 0.6590 (multiplicity 1)